Here is a geometry-optimized KTaGa structure from OQMD via LeMat-Bulk. Energies are from PBE-GGA.

Calculated values
- SG = F-43m
- E above lowest polymorph (eV per atom) = 0.000

a b c (Å): 4.8334 4.8334 4.8334
angles (deg): 60.00 60.00 60.00
Positions (direct):
Ga1 0.0000 0.0000 0.0000
Ta1 0.7500 0.7500 0.7500
K1 0.2500 0.2500 0.2500